# Ce2Sc4Pb3O2

Crystalline Ce2Sc4Pb3O2 at its relaxed geometry (PBE, Alexandria).

abc: 12.9000 12.9000 12.9000
angles: 160.04 160.04 28.38
Fractional positions:
Ce1 0.1942 0.1942 0.0000
Ce2 0.8058 0.8058 0.0000
Sc1 0.0811 0.5811 0.5000
Sc2 0.4189 0.9189 0.5000
Sc3 0.5811 0.0811 0.5000
Sc4 0.9189 0.4189 0.5000
Pb1 0.3299 0.3299 0.0000
Pb2 0.5000 0.5000 0.0000
Pb3 0.6701 0.6701 0.0000
O1 0.0916 0.0916 0.0000
O2 0.9084 0.9084 0.0000

## Properties
**Electronic total energy**: -6.6402 eV/atom
**SG**: I4/mmm (139)
**Magnetization**: 2.90 μB per cell
**Mass density**: 7.4 g/cm³